Compound: YCdGa2P
Source: the Alexandria database
Functional: PBE
Structure: optimized geometry

For the spin magnetization, the calculation gives 0.00 μB/cell. Its energy of formation from the pure elements is 0.416 eV per atom. The calculated volume comes out at 136.2 Å³ per cell. The calculation puts the density of states at the Fermi level at 1.26 states/eV/cell.

Unit cell a=4.7755 b=4.7755 c=5.9718 alpha=90.00 beta=90.00 gamma=90.00
With the nearest neighbours (Å) after each atom.
Space group P4/mmm (No. 123)
Inequivalent atoms, fractional coordinates:
Y  0.0000  0.0000  0.0000 (multiplicity 1)  2 Cd 2.99
Cd  0.0000  0.0000  0.5000 (multiplicity 1)  4 Ga 2.39
Ga  0.0000  0.5000  0.5000 (multiplicity 2)  2 Cd 2.39
P  0.5000  0.5000  0.0000 (multiplicity 1)  4 Y 3.38